Computed, not measured: a relaxed structure of CaTa2In at the GGA-PBE level of DFT.

Output
Its calculated density is 9.92 g cm⁻³. The calculation puts the magnetization at 0.0 Bohr magnetons per cell. For the final energy, the calculation gives -26.36 eV per cell. Its formation energy is 0.521 eV/atom.

Lattice parameters (Å, degrees): 2.9302 2.9302 10.0748 90.00 90.00 90.00
Positions (direct):
Ca (0.0000, 0.0000, 0.0000)
Ta (0.5000, 0.5000, 0.2729)
Ta (0.5000, 0.5000, 0.7271)
In (0.0000, 0.0000, 0.5000)